[1]
The following is a DFT calculation (PBE) of an optimized crystal structure of TbLuZn2Sn2.

Values from the calculation:
**Raw total energy**: -3.82 eV per atom
**Space-group type**: P6_3/mmc

```
TbLuZn2Sn2
1.0
4.502 0.000 0.000
-2.251 3.899 0.000
0.000 0.000 15.617
Tb Lu Zn Sn
2 2 4 4
Cartesian
0.000 0.000 3.904
0.000 0.000 11.712
0.000 0.000 0.000
0.000 0.000 7.808
0.000 2.599 2.484
0.000 2.599 5.324
2.251 1.300 10.292
2.251 1.300 13.133
0.000 2.599 9.538
0.000 2.599 13.887
2.251 1.300 1.730
2.251 1.300 6.079
```

[2]
The following is a DFT calculation (PBE) of an optimized crystal structure of ZrTlCuNi.

Values from the calculation:
**Raw total energy**: -5.18 eV per atom
**Space-group type**: F-43m

```
ZrTlCuNi
1.0
0.000 3.209 3.209
3.209 0.000 3.209
3.209 3.209 0.000
Zr Tl Cu Ni
1 1 1 1
Cartesian
0.000 0.000 0.000
3.209 3.209 3.209
4.814 4.814 4.814
1.605 1.605 1.605
```

[3]
The following is a DFT calculation (PBE) of an optimized crystal structure of Dy3Ho4Te2Ir2.

Values from the calculation:
**Raw total energy**: -6.03 eV per atom
**Space-group type**: Imm2

```
Dy3Ho4Te2Ir2
1.0
-1.970 7.859 4.712
1.970 -7.859 4.712
1.970 7.859 -4.712
Dy Ho Te Ir
3 4 2 2
Cartesian
0.000 0.000 0.000
1.970 -2.305 2.197
1.970 2.305 2.197
1.970 2.899 -1.203
1.970 5.787 0.785
0.000 4.960 3.509
0.000 2.072 5.497
0.000 0.000 3.189
0.000 7.859 2.222
0.000 3.750 0.669
0.000 11.968 0.669
```

[4]
The following is a DFT calculation (PBE) of an optimized crystal structure of Ba2TaAuO6.

Values from the calculation:
**Raw total energy**: -7.07 eV per atom
**Space-group type**: I4/m

```
Ba2TaAuO6
1.0
-2.790 2.790 4.739
2.790 -2.790 4.739
2.790 2.790 -4.739
Ba Ta Au O
2 1 1 6
Cartesian
2.790 0.000 2.370
0.000 2.790 2.370
0.000 0.000 0.000
0.000 0.000 4.739
3.929 1.129 0.000
0.000 0.000 1.971
1.129 1.652 0.000
1.661 1.138 4.739
0.000 0.000 7.508
-1.138 1.661 4.739
```

[5]
The following is a DFT calculation (PBE) of an optimized crystal structure of ScCdFeSb.

Values from the calculation:
**Raw total energy**: -4.92 eV per atom
**Space-group type**: F-43m

```
ScCdFeSb
1.0
0.000 3.375 3.375
3.375 0.000 3.375
3.375 3.375 0.000
Sc Cd Fe Sb
1 1 1 1
Cartesian
0.000 0.000 0.000
5.063 5.063 5.063
3.375 3.375 3.375
1.688 1.688 1.688
```

[6]
The following is a DFT calculation (PBE) of an optimized crystal structure of BeZnPb2.

Values from the calculation:
**Raw total energy**: -2.49 eV per atom
**Space-group type**: F-43m

```
BeZnPb2
1.0
0.000 3.618 3.618
3.618 0.000 3.618
3.618 3.618 0.000
Be Zn Pb
1 1 2
Cartesian
0.000 0.000 0.000
1.809 1.809 1.809
3.618 3.618 3.618
5.428 5.428 5.428
```